First-principles (PBE) data for BeCoTeN2 after structural relaxation, as listed in Alexandria.

Properties
**Raw total energy**: -5.056 eV per atom
**Uncorrected formation energy**: 5.35 eV per formula unit
**Offset from the most stable computed form**: 0 meV/atom
**Magnetic moment**: 0.000 μB/atom

The structure in CIF format:
```
data_BeCoTeN2
_cell_length_a 3.583
_cell_length_b 3.583
_cell_length_c 5.611
_cell_angle_alpha 90.00
_cell_angle_beta 90.00
_cell_angle_gamma 90.00
_space_group_name_H-M_alt 'P 1'
_space_group_IT_number 1
_space_group_name_Hall 'P 1'
loop_
_atom_site_label
_atom_site_type_symbol
_atom_site_fract_x
_atom_site_fract_y
_atom_site_fract_z
Be1 Be 0.500 0.500 0.500
N1 N 0.500 0.000 0.000
Co1 Co 0.000 0.000 0.000
N2 N 0.000 0.500 0.000
Te1 Te 0.000 0.000 0.500
```